Material: Ta2TiRe3
Method: DFT, PBE
State: optimized geometry

Cell lengths 3.177, 3.177, 9.511 Å; angles 90.00, 90.00, 90.00 degrees
Space group P4/mmm (No. 123)
One atom of each set of equivalent atoms:
Ta (0.000, 0.000, 0.170)
Ti (0.000, 0.000, 0.500)
Re (0.500, 0.500, 0.000)
Re (0.500, 0.500, 0.336)

---

Material: CeSmSc2As4
Method: DFT, PBE
State: optimized geometry

Cell lengths 6.973, 4.059, 7.034 Å; angles 90.00, 109.55, 90.00 degrees
Space group P2/m (No. 10)
One atom of each set of equivalent atoms:
Ce (0.000, 0.000, 0.000)
Sm (0.000, 0.500, 0.500)
Sc (0.500, 0.000, 0.500)
Sc (0.500, 0.500, 0.000)
As (0.270, 0.000, 0.758)
As (0.270, 0.500, 0.256)

---

no.,total moment (Bohr magnetons per cell),DFT formation energy (eV per atom)
1,0.0,-0.439
2,0.5,-1.410